[1]
Here is BaScTe2 after structural relaxation from Alexandria. Energies are from PBE-GGA.

Properties
Magnetic moment in μB per formula unit: 0.837
Distance to the lowest polymorph of the same formula in kJ per mole of atoms: 15.83
DOS at the Fermi energy in states/eV/atom: 0.7488
Energy relative to the elements, uncorrected in meV per atom: -1224

Unit cell a=8.3952 b=8.3952 c=8.3952 alpha=152.19 beta=150.71 gamma=40.83
Last column: nearest neighbours and their distance in Å.
Atoms (fractional coordinates):
Ba1 0.0000 0.0000 0.0000  6 Te 3.45-3.50
Sc1 0.7535 0.2535 0.5000  6 Te 2.96-3.13
Te1 0.3230 0.8230 0.5000  4 Sc 3.13
Te2 0.6161 0.6161 0.0000  2 Sc 2.96

=====

[2]
Here is AlNiAuBr2 after structural relaxation from Alexandria. Energies are from PBE-GGA.

Properties
Magnetic moment in μB per formula unit: 0.000
DOS at the Fermi energy in states/eV/atom: 0.7344
Energy relative to the elements, uncorrected in meV per atom: 323

Unit cell a=4.9059 b=4.9059 c=4.7520 alpha=90.00 beta=90.00 gamma=90.00
Last column: nearest neighbours and their distance in Å.
Atoms (fractional coordinates):
Al1 0.0000 0.0000 0.0000  2 Ni 2.38
Ni1 0.0000 0.0000 0.5000  2 Al 2.38, 4 Br 2.45
Au1 0.5000 0.5000 0.0000  8 Br 3.41, 4 Al 3.47
Br1 0.0000 0.5000 0.5000  2 Ni 2.45
Br2 0.5000 0.0000 0.5000  2 Ni 2.45

=====

[3]
Here is DyMgGaSn after structural relaxation from Alexandria. Energies are from PBE-GGA.

Properties
Magnetic moment in μB per formula unit: 0.000
Distance to the lowest polymorph of the same formula in kJ per mole of atoms: 0.00
DOS at the Fermi energy in states/eV/atom: 0.5438

Unit cell a=4.3278 b=4.5246 c=4.6142 alpha=90.00 beta=90.00 gamma=90.00
Last column: nearest neighbours and their distance in Å.
Atoms (fractional coordinates):
Dy1 0.0000 0.0000 0.0000  4 Ga 3.13, 4 Sn 3.16, 4 Mg 3.23
Mg1 0.0000 0.5000 0.5000  4 Sn 3.13, 4 Ga 3.16, 4 Dy 3.23
Ga1 0.5000 0.5000 0.0000  4 Dy 3.13, 4 Mg 3.16, 4 Sn 3.23
Sn1 0.5000 0.0000 0.5000  4 Mg 3.13, 4 Dy 3.16, 4 Ga 3.23

=====

[4]
Here is Ga4CuIr after structural relaxation from Alexandria. Energies are from PBE-GGA.

Properties
Magnetic moment in μB per formula unit: 0.000
Distance to the lowest polymorph of the same formula in kJ per mole of atoms: 27.87
DOS at the Fermi energy in states/eV/atom: 0.6606

Unit cell a=7.0574 b=7.0574 c=7.0574 alpha=99.52 beta=99.52 gamma=132.01
Last column: nearest neighbours and their distance in Å.
Atoms (fractional coordinates):
Ga1 0.2380 0.2469 0.5090  1 Cu 2.33, 1 Ir 2.45
Ga2 0.2380 0.7290 0.9910  1 Cu 2.33, 1 Ir 2.45
Ga3 0.2469 0.2380 0.0090  1 Cu 2.33, 1 Ir 2.45
Ga4 0.2710 0.7620 0.5090  1 Cu 2.33, 1 Ir 2.45
Ga5 0.7290 0.2380 0.4910  1 Cu 2.33, 1 Ir 2.45
Ga6 0.7531 0.7620 0.9910  1 Cu 2.33, 1 Ir 2.45
Ga7 0.7620 0.2710 0.0090  1 Cu 2.33, 1 Ir 2.45
Ga8 0.7620 0.7531 0.4910  1 Cu 2.33, 1 Ir 2.45
Cu1 0.3750 0.6250 0.7500  4 Ga 2.33
Cu2 0.6250 0.3750 0.2500  4 Ga 2.33
Ir1 0.1250 0.8750 0.2500  4 Ga 2.45
Ir2 0.8750 0.1250 0.7500  4 Ga 2.45

=====

[5]
Here is BaLaBi2 after structural relaxation from Alexandria. Energies are from PBE-GGA.

Properties
Magnetic moment in μB per formula unit: 0.000
Distance to the lowest polymorph of the same formula in kJ per mole of atoms: 4.45
DOS at the Fermi energy in states/eV/atom: 0.8175

Unit cell a=9.0140 b=9.0140 c=9.0140 alpha=30.51 beta=30.51 gamma=30.51
Last column: nearest neighbours and their distance in Å.
Atoms (fractional coordinates):
Ba1 0.0000 0.0000 0.0000  6 Bi 3.58-3.68
La1 0.1719 0.1719 0.1719  6 Bi 3.31-3.37
Bi1 0.5772 0.5772 0.5772  3 La 3.31, 3 Ba 3.58
Bi2 0.7621 0.7621 0.7621  3 La 3.37, 3 Ba 3.68

=====

[6]
Here is HoH8Ir2Pd after structural relaxation from Alexandria. Energies are from PBE-GGA.

Properties
Magnetic moment in μB per formula unit: 0.000
DOS at the Fermi energy in states/eV/atom: 0.1982
E_tot in eV per atom: -4.678

Unit cell a=4.9999 b=4.9999 c=6.1265 alpha=109.44 beta=109.44 gamma=47.29
Last column: nearest neighbours and their distance in Å.
Atoms (fractional coordinates):
Ho1 0.0000 0.0000 0.0000  10 H 2.28-2.51
H1 0.1168 0.6104 0.2496  1 Ir 1.65
H2 0.1925 0.1925 0.3629  1 Ir 1.79
H3 0.3618 0.3618 0.9567  1 Ir 1.64
H4 0.3896 0.8832 0.7504  1 Ir 1.65
H5 0.6104 0.1168 0.2496  1 Ir 1.65
H6 0.6382 0.6382 0.0433  1 Ir 1.64
H7 0.8075 0.8075 0.6371  1 Ir 1.79
H8 0.8832 0.3896 0.7504  1 Ir 1.65
Ir1 0.2533 0.2533 0.6762  4 H 1.64-1.79
Ir2 0.7467 0.7467 0.3238  4 H 1.64-1.79
Pd1 0.5000 0.5000 0.5000  4 H 1.87

=====

[7]
Here is LaYNiRh after structural relaxation from Alexandria. Energies are from PBE-GGA.

Properties
Magnetic moment in μB per formula unit: 0.000
Distance to the lowest polymorph of the same formula in kJ per mole of atoms: 0.00
DOS at the Fermi energy in states/eV/atom: 0.6232

Unit cell a=4.1897 b=5.7554 c=5.7554 alpha=39.81 beta=90.00 gamma=90.00
Last column: nearest neighbours and their distance in Å.
Atoms (fractional coordinates):
La1 0.0000 0.0000 0.0000  4 Ni 2.95, 3 Rh 2.96-3.14
Y1 0.5000 0.2789 0.2789  4 Rh 2.92, 3 Ni 3.04-3.09
Ni1 0.5000 0.5646 0.5646  2 Rh 2.73, 4 La 2.95, 2 Y 3.04
Rh1 0.0000 0.7262 0.7262  2 Ni 2.73, 4 Y 2.92, 1 La 2.96

=====

[8]
Here is EuErZn4 after structural relaxation from Alexandria. Energies are from PBE-GGA.

Properties
Magnetic moment in μB per formula unit: 6.885
DOS at the Fermi energy in states/eV/atom: 0.7483
E_tot in eV per atom: -3.593

Unit cell a=5.5231 b=5.5231 c=5.5231 alpha=60.00 beta=60.00 gamma=60.00
Last column: nearest neighbours and their distance in Å.
Atoms (fractional coordinates):
Eu1 0.0000 0.0000 0.0000  12 Zn 3.24, 4 Er 3.38
Er1 0.7500 0.7500 0.7500  12 Zn 3.24, 4 Eu 3.38
Zn1 0.3756 0.3756 0.3756  6 Zn 2.75-2.77
Zn2 0.3756 0.3756 0.8733  6 Zn 2.75-2.77
Zn3 0.3756 0.8733 0.3756  6 Zn 2.75-2.77
Zn4 0.8733 0.3756 0.3756  6 Zn 2.75-2.77

=====

[9]
Here is Ba2NaTeO after structural relaxation from Alexandria. Energies are from PBE-GGA.

Properties
Magnetic moment in μB per formula unit: 0.000
DOS at the Fermi energy in states/eV/atom: 0.3859
Energy relative to the elements, uncorrected in meV per atom: -1544

Unit cell a=5.5025 b=5.5025 c=4.8055 alpha=90.00 beta=90.00 gamma=90.00
Last column: nearest neighbours and their distance in Å.
Atoms (fractional coordinates):
Ba1 0.0000 0.5000 0.0000  2 O 2.75
Ba2 0.5000 0.0000 0.0000  2 O 2.75
Na1 0.0000 0.0000 0.5000  2 O 2.40
Te1 0.5000 0.5000 0.5000  8 Ba 3.65, 4 Na 3.89
O1 0.0000 0.0000 0.0000  2 Na 2.40

=====

[10]
Here is NiMoRh after structural relaxation from Alexandria. Energies are from PBE-GGA.

Properties
Magnetic moment in μB per formula unit: 0.000
Distance to the lowest polymorph of the same formula in kJ per mole of atoms: 61.88
DOS at the Fermi energy in states/eV/atom: 1.8205

Unit cell a=4.0303 b=4.0303 c=4.0303 alpha=60.00 beta=60.00 gamma=60.00
Last column: nearest neighbours and their distance in Å.
Atoms (fractional coordinates):
Ni1 0.0000 0.0000 0.0000  4 Mo 2.47, 4 Rh 2.47
Mo1 0.7500 0.7500 0.7500  4 Ni 2.47
Rh1 0.2500 0.2500 0.2500  4 Ni 2.47

=====

[11]
Here is NdHo4Tm3 after structural relaxation from Alexandria. Energies are from PBE-GGA.

Properties
Magnetic moment in μB per formula unit: 0.000
Distance to the lowest polymorph of the same formula in kJ per mole of atoms: 0.00
DOS at the Fermi energy in states/eV/atom: 1.5638

Unit cell a=11.1865 b=7.2251 c=6.2370 alpha=90.00 beta=90.00 gamma=90.00
Last column: nearest neighbours and their distance in Å.
Atoms (fractional coordinates):
Nd1 0.0000 0.1254 0.0000  6 Tm 3.49-3.61, 6 Ho 3.51-3.61
Nd2 0.5000 0.8746 0.5000  6 Tm 3.49-3.61, 6 Ho 3.51-3.61
Ho1 0.0000 0.3753 0.5014  6 Ho 3.47-3.61, 4 Tm 3.49-3.62, 2 Nd 3.60-3.61
Ho2 0.0000 0.6252 0.9993  6 Ho 3.47-3.61, 4 Tm 3.48-3.61, 2 Nd 3.61
Ho3 0.2478 0.6246 0.3342  6 Ho 3.47-3.60, 5 Tm 3.47-3.62, 1 Nd 3.51
Ho4 0.2522 0.3754 0.8342  6 Ho 3.47-3.60, 5 Tm 3.47-3.62, 1 Nd 3.51
Ho5 0.5000 0.3748 0.4993  6 Ho 3.47-3.61, 4 Tm 3.48-3.61, 2 Nd 3.61
Ho6 0.5000 0.6247 0.0014  6 Ho 3.47-3.61, 4 Tm 3.49-3.62, 2 Nd 3.60-3.61
Ho7 0.7478 0.3754 0.8342  6 Ho 3.47-3.60, 5 Tm 3.47-3.62, 1 Nd 3.51
Ho8 0.7522 0.6246 0.3342  6 Ho 3.47-3.60, 5 Tm 3.47-3.62, 1 Nd 3.51
Tm1 0.0000 0.8746 0.5002  6 Ho 3.47-3.62, 4 Tm 3.49, 2 Nd 3.61
Tm2 0.2499 0.1253 0.3338  6 Ho 3.48-3.62, 2 Nd 3.49, 4 Tm 3.49-3.61
Tm3 0.2501 0.8747 0.8338  6 Ho 3.48-3.62, 2 Nd 3.49, 4 Tm 3.49-3.61
Tm4 0.5000 0.1254 0.0002  6 Ho 3.47-3.62, 4 Tm 3.49, 2 Nd 3.61
Tm5 0.7501 0.1253 0.3338  6 Ho 3.48-3.62, 2 Nd 3.49, 4 Tm 3.49-3.61
Tm6 0.7499 0.8747 0.8338  6 Ho 3.48-3.62, 2 Nd 3.49, 4 Tm 3.49-3.61

=====

[12]
Here is PmEr2Cu6 after structural relaxation from Alexandria. Energies are from PBE-GGA.

Properties
Magnetic moment in μB per formula unit: 0.000
DOS at the Fermi energy in states/eV/atom: 0.5323
E_tot in eV per atom: -4.520

Unit cell a=7.3262 b=7.3262 c=3.5919 alpha=90.00 beta=90.00 gamma=120.00
Last column: nearest neighbours and their distance in Å.
Atoms (fractional coordinates):
Pm1 0.0000 0.0000 0.0000  12 Cu 3.05
Er1 0.3333 0.6667 0.0000  12 Cu 3.02
Er2 0.6667 0.3333 0.0000  12 Cu 3.02
Cu1 0.0000 0.3357 0.5000  3 Cu 2.41-2.46
Cu2 0.0000 0.6643 0.5000  3 Cu 2.41-2.46
Cu3 0.3357 0.0000 0.5000  3 Cu 2.41-2.46
Cu4 0.3357 0.3357 0.5000  3 Cu 2.41-2.46
Cu5 0.6643 0.0000 0.5000  3 Cu 2.41-2.46
Cu6 0.6643 0.6643 0.5000  3 Cu 2.41-2.46